Ce8Os2Pb | PBE | relaxed

```
Ce8Os2Pb
1.0
-5.125 -1.414 -0.073
1.725 -6.283 0.740
1.319 4.708 7.809
Ce Os Pb
8 2 1
direct
0.636 0.305 0.909 Ce
0.950 0.016 0.531 Ce
0.322 0.394 0.287 Ce
0.725 0.898 0.087 Ce
0.363 0.851 0.366 Ce
0.910 0.394 0.452 Ce
0.136 0.511 0.909 Ce
0.548 0.720 0.731 Ce
0.790 0.609 0.223 Os
0.483 0.295 0.595 Os
0.136 0.008 0.909 Pb
```

Calculated values
Its total moment is 1.34 μB/f.u. The calculation puts the energy above the most stable polymorph in this dataset at 0 meV per atom. Its space group is C2, No. 5. For the total energy, the calculation gives -75.31 eV per cell.